# Nd4Ga12Cu | Alexandria via LeMat-Bulk | PBE-GGA | relaxed
data_Nd4Ga12Cu
_cell_length_a 7.6317
_cell_length_b 7.6317
_cell_length_c 7.6317
_cell_angle_alpha 109.47
_cell_angle_beta 109.47
_cell_angle_gamma 109.47
_space_group_name_H-M_alt 'P 1'
_space_group_IT_number 1
_space_group_name_Hall 'P 1'
loop_
_atom_site_label
_atom_site_type_symbol
_atom_site_fract_x
_atom_site_fract_y
_atom_site_fract_z
_atom_site_occupancy
Nd1 Nd 0.0000 0.0000 0.5000 1
Nd2 Nd 0.0000 0.5000 0.0000 1
Nd3 Nd 0.5000 0.0000 0.0000 1
Nd4 Nd 0.5000 0.5000 0.5000 1
Ga1 Ga 0.0000 0.2941 0.2941 1
Ga2 Ga 0.0000 0.7059 0.7059 1
Ga3 Ga 0.2500 0.5000 0.7500 1
Ga4 Ga 0.2500 0.7500 0.5000 1
Ga5 Ga 0.2941 0.0000 0.2941 1
Ga6 Ga 0.2941 0.2941 0.0000 1
Ga7 Ga 0.5000 0.2500 0.7500 1
Ga8 Ga 0.5000 0.7500 0.2500 1
Ga9 Ga 0.7059 0.0000 0.7059 1
Ga10 Ga 0.7059 0.7059 0.0000 1
Ga11 Ga 0.7500 0.2500 0.5000 1
Ga12 Ga 0.7500 0.5000 0.2500 1
Cu1 Cu 0.0000 0.0000 0.0000 1
# Energy of formation from the pure elements, eV per formula unit: -9.0
# Total moment, μB/f.u.: 0.00
# Space group: No. 229
# Raw total energy, eV/cell: -68.47
# Density, g/cm³: 7.169